(1)
! Li2Co2As2N | the Alexandria database | GGA-PBE | optimized geometry; values from VASP
&SYSTEM
  ibrav = 0, nat = 7, ntyp = 4
/
ATOMIC_SPECIES
Li 6.94 Li.upf
Co 58.93 Co.upf
As 74.92 As.upf
N 14.01 N.upf
CELL_PARAMETERS angstrom
3.800 0.000 0.000
0.000 3.800 0.000
-1.900 -1.900 6.420
ATOMIC_POSITIONS angstrom
Li 0.000 0.000 2.079
Li 1.900 1.900 4.342
Co 0.000 1.900 0.000
Co 1.900 0.000 0.000
As 0.000 0.000 4.743
As 1.900 1.900 1.677
N 0.000 0.000 0.000
! Energy in eV per formula unit: -37.3
! Total magnetic moment in Bohr magnetons per cell: 1.4
! N(E_F) in states/eV/cell: 6.829

***

(2)
! NaLiCoAs2 | the Alexandria database | GGA-PBE | optimized geometry; values from VASP
&SYSTEM
  ibrav = 0, nat = 5, ntyp = 4
/
ATOMIC_SPECIES
Na 22.99 Na.upf
As 74.92 As.upf
Co 58.93 Co.upf
Li 6.94 Li.upf
CELL_PARAMETERS angstrom
-3.327 1.006 3.022
-0.488 -4.215 0.866
3.143 0.325 3.351
ATOMIC_POSITIONS angstrom
Na -0.244 -2.108 0.433
As 1.571 0.163 1.676
As -1.663 0.503 1.511
Co -0.336 -1.442 3.620
Li 0.000 0.000 0.000
! Total magnetic moment in Bohr magnetons per cell: 2.0
! N(E_F) in states/eV/cell: 6.525
! Energy of formation from the pure elements in eV/atom: 0.5581

***

(3)
! NaLiCo2As | the Alexandria database | GGA-PBE | optimized geometry; values from VASP
&SYSTEM
  ibrav = 0, nat = 5, ntyp = 4
/
ATOMIC_SPECIES
Na 22.99 Na.upf
As 74.92 As.upf
Co 58.93 Co.upf
Li 6.94 Li.upf
CELL_PARAMETERS angstrom
4.460 0.000 0.000
0.000 4.821 0.000
0.000 0.000 4.460
ATOMIC_POSITIONS angstrom
Na 2.230 2.411 2.230
As 0.000 0.000 0.000
Co 0.000 0.000 2.230
Co 2.230 0.000 0.000
Li 0.000 2.411 0.000
! Total magnetic moment in Bohr magnetons per cell: 2.9
! N(E_F) in states/eV/cell: 2.494
! Energy of formation from the pure elements in eV/atom: 0.2274